# TaFeGe2O8, optimized geometry, DFT PBE+U
data_TaFeGe2O8
_chemical_formula_sum 'Ta2 Fe2 Ge4 O16'
_cell_length_a 6.525
_cell_length_b 6.525
_cell_length_c 6.305
_cell_angle_alpha 90.00
_cell_angle_beta 90.00
_cell_angle_gamma 90.00
_space_group_name_H-M_alt 'I -4 m 2'
_space_group_IT_number 119
_space_group_name_Hall 'I -4 -2'
loop_
_atom_site_label
_atom_site_fract_x
_atom_site_fract_y
_atom_site_fract_z
Ta1 0.000 0.000 0.000
Fe1 0.000 0.500 0.250
Ge1 0.000 0.000 0.500
Ge2 0.000 0.500 0.750
O1 0.000 0.188 0.297
O2 0.000 0.304 0.939
# Total DFT energy (no corrections)   -7.39 eV/atom